[1]
# MgIrF2, relaxed, DFT GGA-PBE
data_MgIrF2
_symmetry_space_group_name_H-M 'I -4 2 d'
_symmetry_Int_Tables_number 122
_symmetry_space_group_name_Hall 'I -4 2bw'
_cell_length_a 5.420
_cell_length_b 5.420
_cell_length_c 8.734
_cell_angle_alpha 90.00
_cell_angle_beta 90.00
_cell_angle_gamma 90.00
loop_
_atom_site_label
_atom_site_type_symbol
_atom_site_fract_x
_atom_site_fract_y
_atom_site_fract_z
Mg1 Mg 0.000 0.000 0.000
Ir1 Ir 0.000 0.000 0.500
F1 F 0.121 0.250 0.125
# DOS(E_F), states/eV/atom: 0.5635
# V, Å³/cell: 257
# Uncorrected formation energy, eV/atom: -1.06
# Energy relative to the lowest polymorph listed for this composition, meV/atom: 0

---

[2]
# Nd5YEr2, relaxed, DFT GGA-PBE
data_Nd5YEr2
_symmetry_space_group_name_H-M 'I 4/m c m'
_symmetry_Int_Tables_number 140
_symmetry_space_group_name_Hall '-I 4 2c'
_cell_length_a 9.267
_cell_length_b 9.267
_cell_length_c 12.678
_cell_angle_alpha 90.00
_cell_angle_beta 90.00
_cell_angle_gamma 90.00
loop_
_atom_site_label
_atom_site_type_symbol
_atom_site_fract_x
_atom_site_fract_y
_atom_site_fract_z
Nd1 Nd 0.000 0.000 0.000
Nd2 Nd 0.150 0.350 0.164
Y1 Y 0.000 0.000 0.250
Er1 Er 0.146 0.354 0.500
# Energy of formation from the pure elements, meV per atom: 114
# DOS(E_F), states/eV/atom: 1.2474
# V, Å³/cell: 1089
# Energy relative to the lowest polymorph listed for this composition, meV/atom: 0

---

[3]
# LaAgTe2, relaxed, DFT GGA-PBE
data_LaAgTe2
_symmetry_space_group_name_H-M 'I -4 2 d'
_symmetry_Int_Tables_number 122
_symmetry_space_group_name_Hall 'I -4 2bw'
_cell_length_a 6.668
_cell_length_b 6.668
_cell_length_c 14.561
_cell_angle_alpha 90.00
_cell_angle_beta 90.00
_cell_angle_gamma 90.00
loop_
_atom_site_label
_atom_site_type_symbol
_atom_site_fract_x
_atom_site_fract_y
_atom_site_fract_z
La1 La 0.000 0.000 0.000
Ag1 Ag 0.000 0.000 0.500
Te1 Te 0.218 0.250 0.625
# DOS(E_F), states/eV/atom: 0.0000
# V, Å³/cell: 647
# Uncorrected formation energy, eV/atom: -0.80

---

[4]
# Cs6KO2, relaxed, DFT GGA-PBE
data_Cs6KO2
_symmetry_space_group_name_H-M 'C 1 2/m 1'
_symmetry_Int_Tables_number 12
_cell_length_a 17.227
_cell_length_b 4.592
_cell_length_c 16.986
_cell_angle_alpha 90.00
_cell_angle_beta 102.41
_cell_angle_gamma 90.00
loop_
_symmetry_equiv_pos_as_xyz
'x,y,z'
'-x,-y,-z'
'-x,y,-z'
'x,-y,z'
'x+1/2,y+1/2,z'
'-x+1/2,-y+1/2,-z'
'-x+1/2,y+1/2,-z'
'x+1/2,-y+1/2,z'
loop_
_atom_site_label
_atom_site_type_symbol
_atom_site_fract_x
_atom_site_fract_y
_atom_site_fract_z
Cs1 Cs 0.007 0.000 0.300
Cs2 Cs 0.178 0.500 0.620
Cs3 Cs 0.229 0.000 0.848
K1 K 0.000 0.000 0.000
O1 O 0.143 0.000 0.702
# DOS(E_F), states/eV/atom: 0.3694
# V, Å³/cell: 1312
# Uncorrected formation energy, eV/atom: -0.64

---

[5]
# La5NpSe8, relaxed, DFT GGA-PBE
data_La5NpSe8
_symmetry_space_group_name_H-M 'I -4'
_symmetry_Int_Tables_number 82
_cell_length_a 9.048
_cell_length_b 9.048
_cell_length_c 9.021
_cell_angle_alpha 90.00
_cell_angle_beta 90.00
_cell_angle_gamma 90.00
loop_
_symmetry_equiv_pos_as_xyz
'x,y,z'
'y,-x,-z'
'-x,-y,z'
'-y,x,-z'
'x+1/2,y+1/2,z+1/2'
'y+1/2,-x+1/2,-z+1/2'
'-x+1/2,-y+1/2,z+1/2'
'-y+1/2,x+1/2,-z+1/2'
loop_
_atom_site_label
_atom_site_type_symbol
_atom_site_fract_x
_atom_site_fract_y
_atom_site_fract_z
La1 La 0.000 0.000 0.000
La2 La 0.126 0.251 0.377
Np1 Np 0.000 0.500 0.750
Se1 Se 0.074 0.178 0.702
Se2 Se 0.076 0.327 0.047
# DOS(E_F), states/eV/atom: 1.3390
# V, Å³/cell: 739
# Uncorrected formation energy, eV/atom: -1.88

---

[6]
# BaB2IrSe, relaxed, DFT GGA-PBE
data_BaB2IrSe
_symmetry_space_group_name_H-M 'P 4/m m m'
_symmetry_Int_Tables_number 123
_symmetry_space_group_name_Hall '-P 4 2'
_cell_length_a 4.233
_cell_length_b 4.233
_cell_length_c 6.591
_cell_angle_alpha 90.00
_cell_angle_beta 90.00
_cell_angle_gamma 90.00
loop_
_atom_site_label
_atom_site_type_symbol
_atom_site_fract_x
_atom_site_fract_y
_atom_site_fract_z
Ba1 Ba 0.000 0.000 0.000
B1 B 0.000 0.500 0.500
Ir1 Ir 0.000 0.000 0.500
Se1 Se 0.500 0.500 0.000
# DOS(E_F), states/eV/atom: 0.6229
# V, Å³/cell: 118
# Uncorrected formation energy, eV/atom: 0.20

---

[7]
# CeBe2Ir2, relaxed, DFT GGA-PBE
data_CeBe2Ir2
_symmetry_space_group_name_H-M 'I 4/m m m'
_symmetry_Int_Tables_number 139
_symmetry_space_group_name_Hall '-I 4 2'
_cell_length_a 4.050
_cell_length_b 4.050
_cell_length_c 18.548
_cell_angle_alpha 90.00
_cell_angle_beta 90.00
_cell_angle_gamma 90.00
loop_
_atom_site_label
_atom_site_type_symbol
_atom_site_fract_x
_atom_site_fract_y
_atom_site_fract_z
Ce1 Ce 0.000 0.000 0.119
Be1 Be 0.000 0.000 0.436
Be2 Be 0.000 0.500 0.250
Ir1 Ir 0.000 0.000 0.311
Ir2 Ir 0.000 0.500 0.000
# Energy of formation from the pure elements, meV per atom: -623
# DOS(E_F), states/eV/atom: 0.7081
# V, Å³/cell: 304
# Energy relative to the lowest polymorph listed for this composition, meV/atom: 5

---

[8]
# CaSbI2, relaxed, DFT GGA-PBE
data_CaSbI2
_symmetry_space_group_name_H-M 'F m -3 m'
_symmetry_Int_Tables_number 225
_symmetry_space_group_name_Hall '-F 4 2 3'
_cell_length_a 8.045
_cell_length_b 8.045
_cell_length_c 8.045
_cell_angle_alpha 90.00
_cell_angle_beta 90.00
_cell_angle_gamma 90.00
loop_
_atom_site_label
_atom_site_type_symbol
_atom_site_fract_x
_atom_site_fract_y
_atom_site_fract_z
Ca1 Ca 0.000 0.000 0.000
Sb1 Sb 0.000 0.000 0.500
I1 I 0.250 0.250 0.250
# DOS(E_F), states/eV/atom: 1.5909
# V, Å³/cell: 521
# Uncorrected formation energy, eV/atom: -0.38
# Energy relative to the lowest polymorph listed for this composition, meV/atom: 79

---

[9]
# AlCuGe, relaxed, DFT GGA-PBE
data_AlCuGe
_symmetry_space_group_name_H-M 'P 1'
_symmetry_Int_Tables_number 1
_cell_length_a 4.063
_cell_length_b 4.556
_cell_length_c 6.219
_cell_angle_alpha 68.96
_cell_angle_beta 71.13
_cell_angle_gamma 89.95
loop_
_symmetry_equiv_pos_as_xyz
'x,y,z'
loop_
_atom_site_label
_atom_site_type_symbol
_atom_site_fract_x
_atom_site_fract_y
_atom_site_fract_z
Al1 Al 0.000 0.000 0.000
Al2 Al 0.142 0.650 0.717
Cu1 Cu 0.512 0.323 0.975
Cu2 Cu 0.901 0.407 0.198
Ge1 Ge 0.356 0.652 0.287
Ge2 Ge 0.683 0.093 0.639
# Energy of formation from the pure elements, meV per atom: 72
# DOS(E_F), states/eV/atom: 0.3553
# V, Å³/cell: 101

---

[10]
# Cs3KAs2S6, relaxed, DFT GGA-PBE
data_Cs3KAs2S6
_symmetry_space_group_name_H-M 'P -3 m 1'
_symmetry_Int_Tables_number 164
_symmetry_space_group_name_Hall '-P 3 2"'
_cell_length_a 7.7517
_cell_length_b 7.7517
_cell_length_c 9.4692
_cell_angle_alpha 90.00
_cell_angle_beta 90.00
_cell_angle_gamma 120.00
loop_
_atom_site_label
_atom_site_type_symbol
_atom_site_fract_x
_atom_site_fract_y
_atom_site_fract_z
Cs1 Cs 0.0000 0.0000 0.0000
Cs2 Cs 0.3333 0.6667 0.6422
K1 K 0.0000 0.0000 0.5000
As1 As 0.3333 0.6667 0.2188
S1 S 0.1779 0.3559 0.2862
# DOS(E_F), states/eV/atom: 0.4792
# V, Å³/cell: 493
# Uncorrected formation energy, eV/atom: -0.71